Density functional theory data (GGA-PBE) for a geometry-optimized La2Ga4PtRh3 structure.

Results
space group: P-4m2
energy: -5.87 eV/atom
volume: 19.30 Å³/atom
formation energy: -0.863 eV/atom

Unit cell a=4.3137 b=4.3137 c=10.3706 alpha=90.00 beta=90.00 gamma=90.00
Fractional coordinates of all 10 atoms:
La (0.0000, 0.5000, 0.2461)
La (0.5000, 0.0000, 0.7539)
Ga (0.0000, 0.0000, 0.5000)
Ga (0.0000, 0.5000, 0.8704)
Ga (0.5000, 0.0000, 0.1296)
Ga (0.5000, 0.5000, 0.5000)
Pt (0.5000, 0.5000, 0.0000)
Rh (0.0000, 0.0000, 0.0000)
Rh (0.0000, 0.5000, 0.6285)
Rh (0.5000, 0.0000, 0.3715)



Density functional theory data (GGA-PBE) for a geometry-optimized Ag6Au7 structure.

Results
space group: R-3m
energy: -3.04 eV/atom
volume: 19.21 Å³/atom
formation energy: 0.040 eV/atom

Unit cell a=10.2189 b=10.2189 c=10.2189 alpha=30.91 beta=30.91 gamma=30.91
Fractional coordinates of all 13 atoms:
Ag (0.0475, 0.0475, 0.0475)
Ag (0.1551, 0.1551, 0.1551)
Ag (0.3328, 0.3328, 0.3328)
Ag (0.6672, 0.6672, 0.6672)
Ag (0.8449, 0.8449, 0.8449)
Ag (0.9525, 0.9525, 0.9525)
Au (0.0842, 0.5869, 0.5869)
Au (0.4131, 0.4131, 0.9158)
Au (0.4131, 0.9158, 0.4131)
Au (0.5000, 0.5000, 0.5000)
Au (0.5869, 0.0842, 0.5869)
Au (0.5869, 0.5869, 0.0842)
Au (0.9158, 0.4131, 0.4131)



Density functional theory data (GGA-PBE) for a geometry-optimized CoAu2Se structure.

Results
space group: I-4m2
energy: -3.87 eV/atom
volume: 17.09 Å³/atom
raw formation energy: 0.42 eV per atom

Unit cell a=4.9616 b=4.9616 c=4.9616 alpha=130.85 beta=130.85 gamma=72.05
Fractional coordinates of all 4 atoms:
Co (0.0000, 0.0000, 0.0000)
Au (0.5000, 0.5000, 0.0000)
Au (0.7500, 0.2500, 0.5000)
Se (0.2500, 0.7500, 0.5000)



Density functional theory data (GGA-PBE) for a geometry-optimized Rb6TlO2 structure.

Results
space group: R3
energy: -2.59 eV/atom
volume: 49.71 Å³/atom
raw formation energy: -0.58 eV per atom

Unit cell a=9.3208 b=9.3208 c=9.3208 alpha=50.73 beta=50.73 gamma=50.73
Fractional coordinates of all 9 atoms:
Rb (0.0171, 0.2838, 0.6991)
Rb (0.1288, 0.8935, 0.5683)
Rb (0.2838, 0.6991, 0.0171)
Rb (0.5683, 0.1288, 0.8935)
Rb (0.6991, 0.0171, 0.2838)
Rb (0.8935, 0.5683, 0.1288)
Tl (0.4346, 0.4346, 0.4346)
O (0.3445, 0.3445, 0.3445)
O (0.9277, 0.9277, 0.9277)



Density functional theory data (GGA-PBE) for a geometry-optimized InTe2Pt structure.

Results
space group: P4/mmm
energy: -3.65 eV/atom
volume: 25.16 Å³/atom
raw formation energy: 0.12 eV per atom

Unit cell a=3.5161 b=3.5161 c=8.1402 alpha=90.00 beta=90.00 gamma=90.00
Fractional coordinates of all 4 atoms:
In (0.0000, 0.0000, 0.0000)
Te (0.5000, 0.5000, 0.3036)
Te (0.5000, 0.5000, 0.6964)
Pt (0.0000, 0.0000, 0.5000)



Density functional theory data (GGA-PBE) for a geometry-optimized Bi2As2Pd3 structure.

Results
E above lowest polymorph: 0 meV per atom
space group: P2_1/c
energy: -4.91 eV/atom
volume: 22.07 Å³/atom
formation energy: -0.252 eV/atom

Unit cell a=6.6713 b=7.2304 c=6.9438 alpha=90.00 beta=112.71 gamma=90.00
Fractional coordinates of all 14 atoms:
Bi (0.1494, 0.1557, 0.4035)
Bi (0.1494, 0.3443, 0.9035)
Bi (0.8506, 0.6557, 0.0965)
Bi (0.8506, 0.8443, 0.5965)
As (0.3548, 0.6641, 0.6508)
As (0.3548, 0.8359, 0.1508)
As (0.6452, 0.1641, 0.8492)
As (0.6452, 0.3359, 0.3492)
Pd (0.0000, 0.0000, 0.0000)
Pd (0.0000, 0.5000, 0.5000)
Pd (0.3159, 0.5279, 0.2976)
Pd (0.3159, 0.9721, 0.7976)
Pd (0.6841, 0.0279, 0.2024)
Pd (0.6841, 0.4721, 0.7024)



Density functional theory data (GGA-PBE) for a geometry-optimized SrFe2Ni2 structure.

Results
E above lowest polymorph: 93 meV per atom
space group: I4/mmm
energy: -5.77 eV/atom
volume: 17.02 Å³/atom
formation energy: 0.266 eV/atom

Unit cell a=5.6184 b=5.6184 c=5.6184 alpha=135.78 beta=135.78 gamma=64.32
Fractional coordinates of all 5 atoms:
Sr (0.0000, 0.0000, 0.0000)
Fe (0.3687, 0.3687, 0.0000)
Fe (0.6313, 0.6313, 0.0000)
Ni (0.2500, 0.7500, 0.5000)
Ni (0.7500, 0.2500, 0.5000)



Density functional theory data (GGA-PBE) for a geometry-optimized Sm2BiBr structure.

Results
E above lowest polymorph: 23 meV per atom
space group: Fm-3m
energy: -4.68 eV/atom
volume: 28.23 Å³/atom
raw formation energy: -0.93 eV per atom

Unit cell a=5.4255 b=5.4255 c=5.4255 alpha=60.00 beta=60.00 gamma=60.00
Fractional coordinates of all 4 atoms:
Sm (0.2500, 0.2500, 0.2500)
Sm (0.7500, 0.7500, 0.7500)
Bi (0.0000, 0.0000, 0.0000)
Br (0.5000, 0.5000, 0.5000)



| no. | M_tot (μB/atom) |
| --- | --- |
| 1 | 0.00 |
| 2 | 0.00 |
| 3 | 0.49 |
| 4 | 0.00 |
| 5 | 0.00 |
| 6 | 0.00 |
| 7 | 1.29 |
| 8 | 0.00 |